No. 1
# TlCdHg2Ge

Crystalline TlCdHg2Ge at its relaxed geometry (GGA-PBE, Alexandria via LeMat-Bulk).

abc: 5.8289 5.3811 5.8289
angles: 90.00 90.00 90.00
Closest atoms and distances in Å follow each position.
Fractional positions:
1 Tl 0.0000 0.0000 0.0000  2 Ge 2.69, 4 Hg 2.91
2 Ge 0.0000 0.5000 0.0000  2 Tl 2.69
3 Hg 0.0000 0.0000 0.5000  2 Tl 2.91
4 Hg 0.5000 0.0000 0.0000  2 Tl 2.91
5 Cd 0.5000 0.5000 0.5000  8 Hg 3.97, 4 Ge 4.12

## Properties
As for the calculated volume: 36.57 Å³/atom. The energy above the most stable polymorph in this dataset comes out at 324 meV/atom. Its crystal system is tetragonal. The calculation puts the uncorrected energy at -1.157 eV/atom.

No. 2
# La2GeAs

Crystalline La2GeAs at its relaxed geometry (GGA-PBE, Alexandria via LeMat-Bulk).

abc: 4.2297 4.4925 12.3256
angles: 100.50 90.00 90.00
Closest atoms and distances in Å follow each position.
Fractional positions:
1 La 0.7500 0.6875 0.3749  5 As 3.03-3.09
2 La 0.2500 0.3125 0.6251  5 As 3.03-3.09
3 La 0.7500 0.9345 0.8690  1 As 2.96, 4 Ge 3.16
4 La 0.2500 0.0655 0.1310  1 As 2.96, 4 Ge 3.16
5 Ge 0.2500 0.4633 0.9267  2 Ge 2.76
6 Ge 0.7500 0.5367 0.0733  2 Ge 2.76
7 As 0.2500 0.1877 0.3755  6 La 2.96-3.09
8 As 0.7500 0.8123 0.6245  6 La 2.96-3.09

## Properties
As for the calculated volume: 28.79 Å³/atom. The energy above the most stable polymorph in this dataset comes out at 0 meV/atom. Its crystal system is orthorhombic. The calculation puts the uncorrected energy at -5.982 eV/atom.